{
  "formula": "CsCd3Ag4Cl12",
  "functional": "PBE",
  "state": "relaxed",
  "sg": "R32 (155)",
  "raw_formation_energy_ev_per_atom": -0.8359,
  "lattice": [[7.1771, 4.1437, 3.4367], [-7.1771, 4.1437, 3.4367], [0.0000, -8.2874, 3.4367]],
  "species": ["Cs", "Cd", "Cd", "Cd", "Ag", "Ag", "Ag", "Ag", "Cl", "Cl", "Cl", "Cl", "Cl", "Cl", "Cl", "Cl", "Cl", "Cl", "Cl", "Cl"],
  "fractional_positions": [[0.0000, 0.0000, 0.0000], [0.0000, 0.5830, 0.4170], [0.4170, 0.0000, 0.5830], [0.5830, 0.4170, 0.0000], [0.1084, 0.5000, 0.8916], [0.5000, 0.5000, 0.5000], [0.5000, 0.8916, 0.1084], [0.8916, 0.1083, 0.5000], [0.9996, 0.2741, 0.3592], [0.0004, 0.6408, 0.7259], [0.0824, 0.9176, 0.5000], [0.2741, 0.3592, 0.9996], [0.3256, 0.6744, 0.5000], [0.3592, 0.9996, 0.2741], [0.5000, 0.0824, 0.9176], [0.5000, 0.3256, 0.6744], [0.6408, 0.7259, 0.0004], [0.6744, 0.5000, 0.3256], [0.7259, 0.0004, 0.6408], [0.9176, 0.5000, 0.0824]]
}

{
  "formula": "LiTbYAu",
  "functional": "PBE",
  "state": "relaxed",
  "sg": "F-43m (216)",
  "delta_e_f_mev_per_atom": -408,
  "lattice": [[0.0000, 3.6197, 3.6197], [3.6197, 0.0000, 3.6197], [3.6197, 3.6197, 0.0000]],
  "species": ["Li", "Tb", "Y", "Au"],
  "fractional_positions": [[0.0000, 0.0000, 0.0000], [0.2500, 0.2500, 0.2500], [0.7500, 0.7500, 0.7500], [0.5000, 0.5000, 0.5000]]
}

{
  "formula": "ThCuRhAu",
  "functional": "PBE",
  "state": "relaxed",
  "sg": "F-43m (216)",
  "delta_e_f_mev_per_atom": -384,
  "lattice": [[0.0000, 3.3800, 3.3800], [3.3800, 0.0000, 3.3800], [3.3800, 3.3800, 0.0000]],
  "species": ["Th", "Cu", "Rh", "Au"],
  "fractional_positions": [[0.0000, 0.0000, 0.0000], [0.7500, 0.7500, 0.7500], [0.2500, 0.2500, 0.2500], [0.5000, 0.5000, 0.5000]]
}

{
  "formula": "SbW2Au",
  "functional": "PBE",
  "state": "relaxed",
  "sg": "P4/mmm (123)",
  "raw_formation_energy_ev_per_atom": 0.7575,
  "lattice": [[4.0254, 0.0000, 0.0000], [0.0000, 4.0254, 0.0000], [0.0000, 0.0000, 4.3931]],
  "species": ["Sb", "W", "W", "Au"],
  "fractional_positions": [[0.0000, 0.0000, 0.0000], [0.0000, 0.5000, 0.5000], [0.5000, 0.0000, 0.5000], [0.5000, 0.5000, 0.0000]]
}

{
  "formula": "SrTcSb2",
  "functional": "PBE",
  "state": "relaxed",
  "sg": "Amm2 (38)",
  "e_above_lowest_polymorph_ev_per_atom": 0.198,
  "raw_formation_energy_ev_per_atom": -0.0563,
  "lattice": [[4.6784, 0.0000, 0.0000], [0.0000, 2.2078, 6.3034], [0.0000, -2.2078, 6.3034]],
  "species": ["Sr", "Tc", "Sb", "Sb"],
  "fractional_positions": [[0.0000, 0.0000, 0.0000], [0.5000, 0.7912, 0.7912], [0.0000, 0.7046, 0.7046], [0.5000, 0.3981, 0.3981]]
}

{
  "formula": "Tb5Pm2Dy4",
  "functional": "PBE",
  "state": "relaxed",
  "sg": "C2/m (12)",
  "delta_e_f_mev_per_atom": 161,
  "e_above_lowest_polymorph_ev_per_atom": 0.145,
  "lattice": [[8.2763, -3.3344, 0.0000], [8.2763, 3.3344, 0.0000], [-1.2094, 0.0000, 6.5657]],
  "species": ["Tb", "Tb", "Tb", "Tb", "Tb", "Pm", "Pm", "Dy", "Dy", "Dy", "Dy"],
  "fractional_positions": [[0.0000, 0.0000, 0.0000], [0.1747, 0.6484, 0.5937], [0.3516, 0.8253, 0.4063], [0.6484, 0.1747, 0.5937], [0.8253, 0.3516, 0.4063], [0.2006, 0.2006, 0.7988], [0.7994, 0.7994, 0.2012], [0.2437, 0.2437, 0.3069], [0.4117, 0.4117, 0.0929], [0.5883, 0.5883, 0.9071], [0.7563, 0.7563, 0.6931]]
}

{
  "formula": "Li6Si2Ag",
  "functional": "PBE",
  "state": "relaxed",
  "sg": "R-3m (166)",
  "e_above_lowest_polymorph_ev_per_atom": 0.000,
  "raw_formation_energy_ev_per_atom": -0.2305,
  "lattice": [[3.7889, 2.1875, 2.6017], [-3.7889, 2.1875, 2.6017], [0.0000, -4.3751, 2.6017]],
  "species": ["Li", "Li", "Li", "Li", "Li", "Li", "Si", "Si", "Ag"],
  "fractional_positions": [[0.0000, 0.3281, 0.6719], [0.0000, 0.6719, 0.3281], [0.3281, 0.0000, 0.6719], [0.3281, 0.6719, 0.0000], [0.6719, 0.0000, 0.3281], [0.6719, 0.3281, 0.0000], [0.1677, 0.1677, 0.1677], [0.8323, 0.8323, 0.8323], [0.5000, 0.5000, 0.5000]]
}

{
  "formula": "Ta4Cu3",
  "functional": "PBE",
  "state": "relaxed",
  "sg": "P6/mmm (191)",
  "delta_e_f_mev_per_atom": 42,
  "e_above_lowest_polymorph_ev_per_atom": 0.000,
  "lattice": [[4.9529, 0.0000, 0.0000], [-2.4764, 4.2893, 0.0000], [0.0000, 0.0000, 5.1062]],
  "species": ["Ta", "Ta", "Ta", "Ta", "Cu", "Cu", "Cu"],
  "fractional_positions": [[0.0000, 0.0000, 0.2426], [0.0000, 0.0000, 0.7574], [0.3333, 0.6667, 0.0000], [0.6667, 0.3333, 0.0000], [0.0000, 0.5000, 0.5000], [0.5000, 0.0000, 0.5000], [0.5000, 0.5000, 0.5000]]
}

{
  "formula": "Tl2CdAs2",
  "functional": "PBE",
  "state": "relaxed",
  "sg": "I4/mmm (139)",
  "delta_e_f_mev_per_atom": 140,
  "e_above_lowest_polymorph_ev_per_atom": 0.121,
  "lattice": [[-2.8387, 2.8387, 4.5326], [2.8387, -2.8387, 4.5326], [2.8387, 2.8387, -4.5326]],
  "species": ["Tl", "Tl", "Cd", "As", "As"],
  "fractional_positions": [[0.2500, 0.7500, 0.5000], [0.7500, 0.2500, 0.5000], [0.0000, 0.0000, 0.0000], [0.3683, 0.3683, 0.0000], [0.6317, 0.6317, 0.0000]]
}

{
  "formula": "SrTaO2",
  "functional": "PBE",
  "state": "relaxed",
  "sg": "I-42d (122)",
  "e_above_lowest_polymorph_ev_per_atom": 0.332,
  "raw_formation_energy_ev_per_atom": -1.7923,
  "lattice": [[-2.4885, 2.4885, 5.8399], [2.4885, -2.4885, 5.8399], [2.4885, 2.4885, -5.8399]],
  "species": ["Sr", "Sr", "Ta", "Ta", "O", "O", "O", "O"],
  "fractional_positions": [[0.0000, 0.0000, 0.0000], [0.7500, 0.2500, 0.5000], [0.2500, 0.7500, 0.5000], [0.5000, 0.5000, 0.0000], [0.2604, 0.6250, 0.1354], [0.3750, 0.5104, 0.6354], [0.4896, 0.1250, 0.8646], [0.8750, 0.7396, 0.3646]]
}

{
  "formula": "Pm4MgCo",
  "functional": "PBE",
  "state": "relaxed",
  "sg": "P4/mmm (123)",
  "delta_e_f_mev_per_atom": 178,
  "e_above_lowest_polymorph_ev_per_atom": 0.289,
  "lattice": [[4.8341, 0.0000, 0.0000], [0.0000, 4.8341, 0.0000], [0.0000, 0.0000, 8.1143]],
  "species": ["Pm", "Pm", "Pm", "Pm", "Mg", "Co"],
  "fractional_positions": [[0.0000, 0.5000, 0.2011], [0.0000, 0.5000, 0.7989], [0.5000, 0.0000, 0.2011], [0.5000, 0.0000, 0.7989], [0.0000, 0.0000, 0.5000], [0.5000, 0.5000, 0.0000]]
}

Sequential E_tot output: -2.69; -4.48; -5.92; -7.57; -5.13; -4.48; -3.03; -8.49; -2.85; -7.66; -4.44 eV/atom